An optimized crystal structure of As2Ir. Source: the Alexandria database, functional PBEsol.

Lattice parameters (Å, degrees): 2.890 2.890 7.383 90.00 90.00 120.00
Sites, in units of the cell vectors:
As1 0.333 0.667 0.273
As2 0.667 0.333 0.727
Ir1 0.000 0.000 0.000

Computed properties:
* DFT formation energy: 10.8 kJ/mol of atoms
* M_tot: 0.000 μB/f.u.
* total energy: -6.566 eV/atom